Density functional theory data (PBE+U) for crystalline NdEuNiSbO6 at its relaxed geometry.

Values from the calculation:
DFT total energy: -7.252 eV per atom

```
data_NdEuNiSbO6
_space_group_name_H-M_alt 'F -4 3 m'
_space_group_IT_number 216
_space_group_name_Hall 'F -4 2 3'
_cell_length_a 7.980
_cell_length_b 7.980
_cell_length_c 7.980
_cell_angle_alpha 90.00
_cell_angle_beta 90.00
_cell_angle_gamma 90.00
loop_
_atom_site_label
_atom_site_type_symbol
_atom_site_fract_x
_atom_site_fract_y
_atom_site_fract_z
Nd1 Nd 0.000 0.000 0.000
Eu1 Eu 0.000 0.000 0.500
Ni1 Ni 0.250 0.250 0.750
Sb1 Sb 0.250 0.250 0.250
O1 O 0.003 0.250 0.250
```